Entry 1:
Computed, not measured: BaLi2VF after structural relaxation at the GGA+U level of DFT.

## Properties
Density: 2.36 g cm⁻³
Space-group type: P4/mmm
DFT total energy: -2.91 eV/atom
Total moment: 5.8 Bohr magnetons per cell
Crystal system: tetragonal

Unit cell a=4.737 b=6.933 c=4.737 alpha=90.00 beta=90.00 gamma=90.00
Fractional positions:
F (0.500, 0.500, 0.500)
Li (0.000, 0.000, 0.500)
Li (0.500, 0.000, 0.000)
Ba (0.000, 0.500, 0.000)
V (0.000, 0.000, 0.000)

---

Entry 2:
Computed, not measured: BaLi2VF8 after structural relaxation at the GGA+U level of DFT.

## Properties
Density: 3.36 g cm⁻³
Space-group type: P-1
DFT total energy: -5.41 eV/atom
Total moment: 1.0 Bohr magnetons per cell
Crystal system: triclinic

Unit cell a=4.916 b=4.994 c=7.442 alpha=81.90 beta=82.15 gamma=76.77
Fractional positions:
Ba (0.000, 0.000, 0.500)
Li (0.462, 0.462, 0.709)
Li (0.538, 0.538, 0.291)
V (0.000, 0.000, 0.000)
F (0.213, 0.783, 0.190)
F (0.757, 0.771, 0.050)
F (0.789, 0.221, 0.186)
F (0.787, 0.217, 0.810)
F (0.243, 0.229, 0.950)
F (0.211, 0.779, 0.814)
F (0.656, 0.674, 0.494)
F (0.344, 0.326, 0.506)

---

Entry 3:
Computed, not measured: Ba2Li3WF12 after structural relaxation at the GGA+U level of DFT.

## Properties
Density: 4.07 g cm⁻³
Space-group type: R-3m
DFT total energy: -5.16 eV/atom
Total moment: 1.2 Bohr magnetons per cell
Crystal system: trigonal

Unit cell a=7.109 b=7.109 c=7.109 alpha=66.32 beta=66.32 gamma=66.32
Fractional positions:
Ba (0.655, 0.655, 0.655)
Ba (0.345, 0.345, 0.345)
Li (0.500, 0.000, 0.000)
Li (0.000, 0.500, 0.000)
Li (0.000, 0.000, 0.500)
W (0.000, 0.000, 0.000)
F (0.369, 0.369, 0.955)
F (0.941, 0.941, 0.302)
F (0.302, 0.941, 0.941)
F (0.955, 0.369, 0.369)
F (0.941, 0.302, 0.941)
F (0.369, 0.955, 0.369)
F (0.631, 0.631, 0.045)
F (0.059, 0.059, 0.698)
F (0.698, 0.059, 0.059)
F (0.045, 0.631, 0.631)
F (0.059, 0.698, 0.059)
F (0.631, 0.045, 0.631)